(1)
First-principles (PBE-GGA) data for a geometry-optimized Nd9Ho2Sc structure, as listed in Alexandria.

Summary:
Density of states at the Fermi level, states/eV/atom: 1.56
Symmetry: P4/mmm, No. 123
Energy relative to the elements, meV/atom: 23.6
Electronic total energy, eV per atom: -4.84

Unit cell a=5.118 b=5.118 c=15.360 alpha=90.00 beta=90.00 gamma=90.00
Fractional positions:
1 Nd 0.500 0.500 0.000
2 Nd 0.500 0.500 0.331
3 Nd 0.500 0.500 0.669
4 Nd 0.500 0.000 0.163
5 Nd 0.500 0.000 0.500
6 Nd 0.500 0.000 0.837
7 Nd 0.000 0.500 0.163
8 Nd 0.000 0.500 0.500
9 Nd 0.000 0.500 0.837
10 Ho 0.000 0.000 0.331
11 Ho 0.000 0.000 0.669
12 Sc 0.000 0.000 0.000

---

(2)
First-principles (PBE-GGA) data for a geometry-optimized Nd12Ho7Sc structure, as listed in Alexandria.

Summary:
Relative energy among the computed polymorphs, meV per atom: 47.6
Density of states at the Fermi level, states/eV/atom: 1.44
Symmetry: R-3m, No. 166
Energy relative to the elements, meV/atom: 200.3
Electronic total energy, eV per atom: -4.58

Unit cell a=6.202 b=11.502 c=11.502 alpha=116.84 beta=100.35 gamma=100.35
Fractional positions:
1 Nd 0.087 0.587 0.175
2 Nd 0.087 0.175 0.587
3 Nd 0.580 0.648 0.000
4 Nd 0.420 0.000 0.352
5 Nd 0.500 0.413 0.587
6 Nd 0.068 0.648 0.648
7 Nd 0.932 0.352 0.352
8 Nd 0.500 0.587 0.413
9 Nd 0.580 0.000 0.648
10 Nd 0.420 0.352 0.000
11 Nd 0.913 0.825 0.413
12 Nd 0.913 0.413 0.825
13 Ho 0.119 0.760 0.000
14 Ho 0.881 0.000 0.240
15 Ho 0.640 0.760 0.760
16 Ho 0.500 0.000 0.000
17 Ho 0.360 0.240 0.240
18 Ho 0.119 0.000 0.760
19 Ho 0.881 0.240 0.000
20 Sc 0.000 0.000 0.000

---

(3)
First-principles (PBE-GGA) data for a geometry-optimized Nd2Ho7Sc2 structure, as listed in Alexandria.

Summary:
Relative energy among the computed polymorphs, meV per atom: 0.0
Density of states at the Fermi level, states/eV/atom: 1.27
Symmetry: C2/m, No. 12
Energy relative to the elements, meV/atom: 196.4
Electronic total energy, eV per atom: -4.73

Unit cell a=8.513 b=6.446 c=6.446 alpha=88.43 beta=81.08 gamma=81.08
Fractional positions:
1 Nd 0.366 0.394 0.394
2 Nd 0.634 0.606 0.606
3 Ho 0.702 0.093 0.492
4 Ho 0.298 0.508 0.907
5 Ho 0.298 0.907 0.508
6 Ho 0.702 0.492 0.093
7 Ho 0.500 0.000 0.000
8 Ho 0.974 0.690 0.690
9 Ho 0.026 0.310 0.310
10 Sc 0.000 0.180 0.820
11 Sc 0.000 0.820 0.180

---

(4)
First-principles (PBE-GGA) data for a geometry-optimized NdHo6Sc4 structure, as listed in Alexandria.

Summary:
Relative energy among the computed polymorphs, meV per atom: 0.0
Density of states at the Fermi level, states/eV/atom: 1.70
Symmetry: Cmcm, No. 63
Energy relative to the elements, meV/atom: 113.3
Electronic total energy, eV per atom: -5.12

Unit cell a=5.473 b=5.440 c=24.906 alpha=90.00 beta=90.00 gamma=120.20
Fractional positions:
1 Nd 0.824 0.649 0.250
2 Nd 0.176 0.351 0.750
3 Ho 0.500 0.000 0.000
4 Ho 0.500 0.000 0.500
5 Ho 0.157 0.315 0.322
6 Ho 0.843 0.685 0.678
7 Ho 0.843 0.685 0.822
8 Ho 0.157 0.315 0.178
9 Ho 0.825 0.651 0.404
10 Ho 0.175 0.349 0.596
11 Ho 0.175 0.349 0.904
12 Ho 0.825 0.651 0.096
13 Ho 0.490 0.981 0.250
14 Ho 0.510 0.019 0.750
15 Sc 0.837 0.674 0.543
16 Sc 0.490 0.981 0.123
17 Sc 0.163 0.326 0.457
18 Sc 0.510 0.019 0.877
19 Sc 0.837 0.674 0.957
20 Sc 0.163 0.326 0.043
21 Sc 0.510 0.019 0.623
22 Sc 0.490 0.981 0.377

---

(5)
First-principles (PBE-GGA) data for a geometry-optimized Nd2Ho12Sc structure, as listed in Alexandria.

Summary:
Density of states at the Fermi level, states/eV/atom: 1.60
Symmetry: P4/nbm, No. 125
Energy relative to the elements, meV/atom: 350.2
Electronic total energy, eV per atom: -4.37

Unit cell a=6.410 b=6.410 c=24.562 alpha=90.00 beta=90.00 gamma=90.00
Fractional positions:
1 Nd 0.500 0.000 0.269
2 Nd 0.000 0.500 0.269
3 Nd 0.000 0.500 0.731
4 Nd 0.500 0.000 0.731
5 Ho 0.500 0.500 0.789
6 Ho 0.000 0.000 0.789
7 Ho 0.688 0.812 0.890
8 Ho 0.188 0.688 0.890
9 Ho 0.000 0.000 0.338
10 Ho 0.312 0.812 0.110
11 Ho 0.831 0.331 0.561
12 Ho 0.500 0.500 0.338
13 Ho 0.312 0.188 0.890
14 Ho 0.812 0.688 0.110
15 Ho 0.331 0.169 0.561
16 Ho 0.669 0.169 0.439
17 Ho 0.000 0.000 0.662
18 Ho 0.169 0.331 0.439
19 Ho 0.188 0.312 0.110
20 Ho 0.831 0.669 0.439
21 Ho 0.669 0.831 0.561
22 Ho 0.000 0.000 0.211
23 Ho 0.169 0.669 0.561
24 Ho 0.500 0.500 0.662
25 Ho 0.812 0.312 0.890
26 Ho 0.500 0.500 0.211
27 Ho 0.331 0.831 0.439
28 Ho 0.688 0.188 0.110
29 Sc 0.500 0.000 0.000
30 Sc 0.000 0.500 0.000

---

(6)
First-principles (PBE-GGA) data for a geometry-optimized NdHoSc6 structure, as listed in Alexandria.

Summary:
Density of states at the Fermi level, states/eV/atom: 1.92
Symmetry: Amm2, No. 38
Energy relative to the elements, meV/atom: 0.6
Electronic total energy, eV per atom: -5.92

Unit cell a=5.338 b=6.795 c=6.795 alpha=120.01 beta=90.00 gamma=90.00
Site moments in Bohr magnetons follow the coordinates.
Fractional positions:
1 Nd 0.500 0.416 0.584  0.07
2 Ho 0.000 0.084 0.916  0.19
3 Sc 0.000 0.073 0.412  0.14
4 Sc 0.000 0.588 0.927  0.14
5 Sc 0.000 0.587 0.413  0.14
6 Sc 0.500 0.426 0.088  0.13
7 Sc 0.500 0.912 0.574  0.13
8 Sc 0.500 0.914 0.086  0.13